No. 1
The following is a DFT calculation (GGA-PBEsol) of a geometry-optimized Mg3ZnRu structure.

Computed properties:
- DOS at the Fermi energy (states/eV per atom) = 0.5420
- calculated formation energy (eV per formula unit) = 2.92
- V (Å³ per cell) = 116.5
- calculated total energy (eV/atom) = -2.798

abc: 4.884 4.884 4.884
angles: 90.00 90.00 90.00
Element x y z (fractional)
Mg: 0.500 0.000 0.000
Mg: 0.000 0.000 0.500
Mg: 0.000 0.500 0.000
Ru: 0.000 0.000 0.000
Zn: 0.500 0.500 0.500

=====

No. 2
The following is a DFT calculation (GGA-PBEsol) of a geometry-optimized Co2AgPt structure.

Computed properties:
- DOS at the Fermi energy (states/eV per atom) = 1.3285
- calculated formation energy (eV per formula unit) = 0.82
- V (Å³ per cell) = 52.5
- calculated total energy (eV/atom) = -6.233

abc: 2.655 4.559 4.559
angles: 108.04 90.00 90.00
Element x y z (fractional)
Co: 0.000 0.500 0.000
Co: 0.000 0.000 0.500
Pt: 0.500 0.000 0.000
Ag: 0.500 0.500 0.500

=====

No. 3
The following is a DFT calculation (GGA-PBEsol) of a geometry-optimized MgFeBr2 structure.

Computed properties:
- DOS at the Fermi energy (states/eV per atom) = 1.0765
- V (Å³ per cell) = 93.3
- formation energy from raw total energies (eV/atom) = -0.038
- calculated total energy (eV/atom) = -3.643

abc: 3.289 5.811 5.811
angles: 62.95 73.56 73.56
Element x y z (fractional)
Br: 0.034 0.966 0.966
Br: 0.204 0.296 0.296
Mg: 0.754 0.746 0.746
Fe: 0.507 0.493 0.493

=====

No. 4
The following is a DFT calculation (GGA-PBEsol) of a geometry-optimized Sr4MoSe structure.

Computed properties:
- DOS at the Fermi energy (states/eV per atom) = 1.1223
- V (Å³ per cell) = 215.4
- formation energy from raw total energies (eV/atom) = 0.933
- calculated total energy (eV/atom) = -2.897

abc: 6.728 6.728 6.728
angles: 60.00 60.00 60.00
Element x y z (fractional)
Mo: 0.750 0.750 0.750
Se: 0.000 0.000 0.000
Sr: 0.375 0.874 0.375
Sr: 0.874 0.375 0.375
Sr: 0.375 0.375 0.375
Sr: 0.375 0.375 0.874

=====

No. 5
The following is a DFT calculation (GGA-PBEsol) of a geometry-optimized Li2MnSi3O8 structure.

Computed properties:
- DOS at the Fermi energy (states/eV per atom) = 0.0000
- V (Å³ per cell) = 341.7
- formation energy from raw total energies (eV/atom) = -2.410
- calculated total energy (eV/atom) = -7.619

abc: 5.120 6.891 9.686
angles: 90.00 90.00 90.88
Element x y z (fractional)
Li: 0.597 0.732 0.352
Li: 0.936 0.751 0.603
Li: 0.403 0.268 0.852
Li: 0.064 0.249 0.103
O: 0.510 0.536 0.925
O: 0.908 0.499 0.107
O: 0.515 0.286 0.672
O: 0.947 0.810 0.372
O: 0.192 0.814 0.837
O: 0.301 0.101 0.366
O: 0.485 0.714 0.172
O: 0.976 0.031 0.581
O: 0.699 0.899 0.866
O: 0.490 0.464 0.425
O: 0.453 0.331 0.163
O: 0.547 0.669 0.663
O: 0.053 0.190 0.872
O: 0.808 0.186 0.337
O: 0.092 0.501 0.607
O: 0.024 0.969 0.081
Si: 0.514 0.268 0.325
Si: 0.401 0.470 0.592
Si: 0.004 0.033 0.417
Si: 0.996 0.967 0.917
Si: 0.599 0.530 0.092
Si: 0.486 0.732 0.825
Mn: 0.904 0.269 0.688
Mn: 0.096 0.731 0.188

=====

No. 6
The following is a DFT calculation (GGA-PBEsol) of a geometry-optimized BSeBr2O structure.

Computed properties:
- DOS at the Fermi energy (states/eV per atom) = 0.9764
- V (Å³ per cell) = 91.6
- formation energy from raw total energies (eV/atom) = 1.056
- calculated total energy (eV/atom) = -2.915

abc: 4.262 4.636 4.636
angles: 90.00 90.00 90.00
Element x y z (fractional)
O: 0.500 0.500 0.500
Br: 0.000 0.500 0.000
Br: 0.000 0.000 0.500
B: 0.000 0.000 0.000
Se: 0.500 0.000 0.000

=====

No. 7
The following is a DFT calculation (GGA-PBEsol) of a geometry-optimized LiFe2As structure.

Computed properties:
- DOS at the Fermi energy (states/eV per atom) = 0.8619
- calculated formation energy (eV per formula unit) = -0.25
- V (Å³ per cell) = 45.2
- calculated total energy (eV/atom) = -6.312

abc: 3.545 3.545 4.386
angles: 113.84 113.84 90.00
Element x y z (fractional)
Fe: 0.750 0.250 0.500
Fe: 0.250 0.750 0.500
Li: 0.000 0.000 0.000
As: 0.500 0.500 0.000

=====

No. 8
The following is a DFT calculation (GGA-PBEsol) of a geometry-optimized RbNa2N2 structure.

Computed properties:
- DOS at the Fermi energy (states/eV per atom) = 0.8197
- V (Å³ per cell) = 334.3
- formation energy from raw total energies (eV/atom) = 0.038
- calculated total energy (eV/atom) = -4.137

abc: 6.834 6.834 7.157
angles: 90.00 90.00 90.00
Element x y z (fractional)
N: 0.940 0.560 0.000
N: 0.440 0.940 0.000
N: 0.560 0.060 0.000
N: 0.060 0.440 0.000
Na: 0.316 0.184 0.500
Na: 0.816 0.316 0.500
Na: 0.184 0.684 0.500
Na: 0.684 0.816 0.500
Rb: 0.500 0.500 0.000
Rb: 0.000 0.000 0.000

=====

No. 9
The following is a DFT calculation (GGA-PBEsol) of a geometry-optimized TiNb2Si2 structure.

Computed properties:
- DOS at the Fermi energy (states/eV per atom) = 0.2502
- V (Å³ per cell) = 153.1
- formation energy from raw total energies (eV/atom) = -0.821
- calculated total energy (eV/atom) = -9.112

abc: 3.471 6.642 6.642
angles: 90.00 90.00 90.00
Element x y z (fractional)
Nb: 0.500 0.828 0.328
Nb: 0.500 0.672 0.828
Nb: 0.500 0.172 0.672
Nb: 0.500 0.328 0.172
Si: 0.000 0.628 0.128
Si: 0.000 0.872 0.628
Si: 0.000 0.128 0.372
Si: 0.000 0.372 0.872
Ti: 0.000 0.500 0.500
Ti: 0.000 0.000 0.000

=====

No. 10
The following is a DFT calculation (GGA-PBEsol) of a geometry-optimized Sr2P structure.

Computed properties:
- DOS at the Fermi energy (states/eV per atom) = 0.4575
- calculated formation energy (eV per formula unit) = -2.37
- V (Å³ per cell) = 251.2
- calculated total energy (eV/atom) = -3.948

abc: 4.395 6.023 9.742
angles: 90.00 103.04 90.00
Element x y z (fractional)
Sr: 0.583 0.250 0.167
Sr: 0.417 0.750 0.833
Sr: 0.206 0.750 0.412
Sr: 0.794 0.250 0.588
P: 0.185 0.250 0.370
P: 0.815 0.750 0.630

=====

No. 11
The following is a DFT calculation (GGA-PBEsol) of a geometry-optimized Ba2RhAu structure.

Computed properties:
- DOS at the Fermi energy (states/eV per atom) = 0.3530
- calculated formation energy (eV per formula unit) = -0.20
- V (Å³ per cell) = 100.5
- calculated total energy (eV/atom) = -4.141

abc: 5.219 5.219 5.219
angles: 60.00 60.00 60.00
Element x y z (fractional)
Au: 0.500 0.500 0.500
Ba: 0.750 0.750 0.750
Ba: 0.000 0.000 0.000
Rh: 0.250 0.250 0.250

=====

No. 12
The following is a DFT calculation (GGA-PBEsol) of a geometry-optimized CoTc structure.

Computed properties:
- DOS at the Fermi energy (states/eV per atom) = 1.2401
- calculated formation energy (eV per formula unit) = 0.09
- V (Å³ per cell) = 47.8
- calculated total energy (eV/atom) = -9.458

abc: 3.655 3.655 4.415
angles: 114.45 114.45 90.00
Element x y z (fractional)
Tc: 0.000 0.000 0.000
Tc: 0.250 0.750 0.500
Co: 0.750 0.250 0.500
Co: 0.500 0.500 0.000

=====

No. 13
The following is a DFT calculation (GGA-PBEsol) of a geometry-optimized CrRe2As structure.

Computed properties:
- DOS at the Fermi energy (states/eV per atom) = 1.1010
- calculated formation energy (eV per formula unit) = 1.80
- V (Å³ per cell) = 56.6
- calculated total energy (eV/atom) = -10.053

abc: 2.722 2.722 8.340
angles: 90.00 90.00 113.61
Element x y z (fractional)
Re: 0.000 0.000 0.012
Re: 0.500 0.500 0.750
As: 0.000 0.000 0.484
Cr: 0.500 0.500 0.254

=====

No. 14
The following is a DFT calculation (GGA-PBEsol) of a geometry-optimized Mn3Cd2O8 structure.

Computed properties:
- V (Å³ per cell) = 145.2
- formation energy from raw total energies (eV/atom) = -1.519
- calculated total energy (eV/atom) = -7.187

abc: 4.919 5.792 6.120
angles: 118.24 106.75 90.00
Element x y z (fractional)
O: 0.111 0.675 0.795
O: 0.111 0.120 0.795
O: 0.889 0.325 0.205
O: 0.548 0.397 0.794
O: 0.889 0.880 0.205
O: 0.402 0.097 0.194
O: 0.598 0.903 0.806
O: 0.452 0.603 0.206
Cd: 0.162 0.721 0.443
Cd: 0.838 0.279 0.557
Mn: 0.000 0.000 0.000
Mn: 0.500 0.258 0.000
Mn: 0.500 0.742 0.000

=====

No. 15
The following is a DFT calculation (GGA-PBEsol) of a geometry-optimized Fe3CoBi4As4O24 structure.

Computed properties:
- DOS at the Fermi energy (states/eV per atom) = 0.3330
- V (Å³ per cell) = 465.2
- formation energy from raw total energies (eV/atom) = -1.152
- calculated total energy (eV/atom) = -6.657

abc: 6.973 7.902 9.241
angles: 104.00 95.22 107.00
Element x y z (fractional)
O: 0.828 0.802 0.823
O: 0.885 0.003 0.622
O: 0.422 0.978 0.188
O: 0.739 0.983 0.071
O: 0.382 0.498 0.619
O: 0.618 0.502 0.381
O: 0.525 0.296 0.079
O: 0.578 0.022 0.812
O: 0.172 0.198 0.177
O: 0.568 0.186 0.541
O: 0.239 0.479 0.072
O: 0.667 0.697 0.175
O: 0.926 0.482 0.190
O: 0.432 0.814 0.459
O: 0.115 0.997 0.378
O: 0.261 0.017 0.929
O: 0.979 0.208 0.924
O: 0.475 0.704 0.921
O: 0.068 0.685 0.542
O: 0.021 0.792 0.076
O: 0.074 0.518 0.810
O: 0.333 0.303 0.825
O: 0.932 0.315 0.458
O: 0.761 0.521 0.928
As: 0.313 0.502 0.790
As: 0.818 0.007 0.793
As: 0.182 0.993 0.207
As: 0.687 0.498 0.210
Fe: 0.747 0.746 0.997
Fe: 0.500 0.000 0.000
Fe: 0.253 0.254 0.003
Bi: 0.290 0.984 0.596
Bi: 0.791 0.484 0.597
Bi: 0.209 0.516 0.403
Bi: 0.710 0.016 0.404
Co: 0.000 0.500 0.000

=====

No. 16
The following is a DFT calculation (GGA-PBEsol) of a geometry-optimized Sr2PRh structure.

Computed properties:
- DOS at the Fermi energy (states/eV per atom) = 0.4004
- calculated formation energy (eV per formula unit) = -2.95
- V (Å³ per cell) = 100.7
- calculated total energy (eV/atom) = -5.139

abc: 4.373 4.601 5.508
angles: 114.69 90.00 90.00
Element x y z (fractional)
Rh: 0.500 0.585 0.170
Sr: 0.000 0.978 0.957
Sr: 0.500 0.272 0.544
P: 0.000 0.668 0.335

=====

No. 17
The following is a DFT calculation (GGA-PBEsol) of a geometry-optimized K3BeOs structure.

Computed properties:
- DOS at the Fermi energy (states/eV per atom) = 1.0077
- calculated formation energy (eV per formula unit) = 9.10
- V (Å³ per cell) = 219.7
- calculated total energy (eV/atom) = -2.104

abc: 6.034 6.034 6.034
angles: 90.00 90.00 90.00
Element x y z (fractional)
Be: 0.500 0.500 0.500
K: 0.000 0.500 0.000
K: 0.500 0.000 0.000
K: 0.000 0.000 0.500
Os: 0.000 0.000 0.000

=====

No. 18
The following is a DFT calculation (GGA-PBEsol) of a geometry-optimized BaBeP2 structure.

Computed properties:
- DOS at the Fermi energy (states/eV per atom) = 0.3680
- calculated formation energy (eV per formula unit) = 0.20
- V (Å³ per cell) = 77.0
- calculated total energy (eV/atom) = -4.382

abc: 3.427 3.427 6.560
angles: 90.00 90.00 90.00
Element x y z (fractional)
P: 0.000 0.000 0.999
P: 0.500 0.500 0.155
Ba: 0.000 0.000 0.501
Be: 0.500 0.500 0.844

=====

No. 19
The following is a DFT calculation (GGA-PBEsol) of a geometry-optimized ScAu structure.

Computed properties:
- DOS at the Fermi energy (states/eV per atom) = 0.9957
- calculated formation energy (eV per formula unit) = -1.46
- V (Å³ per cell) = 460.7
- calculated total energy (eV/atom) = -5.992

abc: 5.728 8.164 9.852
angles: 90.00 90.00 90.00
Element x y z (fractional)
Au: 0.500 0.250 0.082
Au: 0.750 0.121 0.853
Au: 0.750 0.046 0.429
Au: 0.250 0.379 0.853
Au: 0.250 0.879 0.147
Au: 0.500 0.750 0.918
Au: 0.000 0.250 0.082
Au: 0.000 0.750 0.918
Au: 0.750 0.546 0.571
Au: 0.750 0.621 0.147
Au: 0.250 0.454 0.429
Au: 0.250 0.954 0.571
Sc: 0.750 0.366 0.321
Sc: 0.000 0.250 0.619
Sc: 0.750 0.460 0.871
Sc: 0.500 0.250 0.619
Sc: 0.750 0.866 0.679
Sc: 0.000 0.750 0.381
Sc: 0.250 0.134 0.321
Sc: 0.250 0.634 0.679
Sc: 0.250 0.040 0.871
Sc: 0.250 0.540 0.129
Sc: 0.750 0.960 0.129
Sc: 0.500 0.750 0.381

=====

No. 20
The following is a DFT calculation (GGA-PBEsol) of a geometry-optimized FeCoIr2 structure.

Computed properties:
- DOS at the Fermi energy (states/eV per atom) = 1.2829
- calculated formation energy (eV per formula unit) = 0.00
- V (Å³ per cell) = 49.1
- calculated total energy (eV/atom) = -9.088

abc: 2.636 4.412 4.412
angles: 106.66 90.00 90.00
Element x y z (fractional)
Fe: 0.500 0.500 0.500
Ir: 0.000 0.500 0.000
Ir: 0.000 0.000 0.500
Co: 0.500 0.000 0.000

=====

Number 1: total magnetic moment 0.000 μB per formula unit. Number 2: total magnetic moment 3.780 μB per formula unit. Number 3: total magnetic moment 3.258 μB per formula unit. Number 4: total magnetic moment 3.386 μB per formula unit. Number 5: total magnetic moment 5.000 μB per formula unit. Number 6: total magnetic moment 1.830 μB per formula unit. Number 7: total magnetic moment 3.622 μB per formula unit. Number 8: total magnetic moment 0.518 μB per formula unit. Number 9: total magnetic moment 0.000 μB per formula unit. Number 10: total magnetic moment 0.000 μB per formula unit. Number 11: total magnetic moment 0.000 μB per formula unit. Number 12: total magnetic moment 0.000 μB per formula unit. Number 13: total magnetic moment 0.794 μB per formula unit. Number 14: total magnetic moment 9.000 μB per formula unit. Number 15: total magnetic moment 11.028 μB per formula unit. Number 16: total magnetic moment 0.000 μB per formula unit. Number 17: total magnetic moment 1.139 μB per formula unit. Number 18: total magnetic moment 0.000 μB per formula unit. Number 19: total magnetic moment 0.000 μB per formula unit. Number 20: total magnetic moment 2.764 μB per formula unit.